Density functional theory data (GGA-PBE) for BaTe3Ir after structural relaxation.

a b c (Å): 5.397 5.397 5.397
angles (deg): 90.00 90.00 90.00
Fractional positions:
Ba  0.000  0.000  0.000
Te  0.000  0.500  0.500
Te  0.500  0.000  0.500
Te  0.500  0.500  0.000
Ir  0.500  0.500  0.500

Values from the calculation:
ΔE to the lowest computed polymorph: 0 meV/atom
Raw formation energy: -2.03 eV per formula unit
DOS at the Fermi energy: 1.02 states/eV per atom
E_tot: -22.240 eV per formula unit

Density functional theory data (GGA-PBE) for Ba4TeIr after structural relaxation.

a b c (Å): 9.987 9.987 7.798
angles (deg): 111.53 111.53 111.21
Fractional positions:
Ba  0.054  0.640  0.883
Ba  0.185  0.269  0.663
Ba  0.269  0.185  0.163
Ba  0.360  0.946  0.617
Ba  0.640  0.054  0.383
Ba  0.731  0.815  0.837
Ba  0.815  0.731  0.337
Ba  0.946  0.360  0.117
Te  0.381  0.619  0.250
Te  0.619  0.381  0.750
Ir  0.082  0.918  0.250
Ir  0.918  0.082  0.750

Values from the calculation:
ΔE to the lowest computed polymorph: 0 meV/atom
Raw formation energy: -3.40 eV per formula unit
DOS at the Fermi energy: 0.84 states/eV per atom
E_tot: -23.092 eV per formula unit

Density functional theory data (GGA-PBE) for BaTe2Ir after structural relaxation.

a b c (Å): 3.634 3.634 8.135
angles (deg): 90.00 90.00 90.00
Fractional positions:
Ba  0.000  0.000  0.000
Te  0.500  0.500  0.312
Te  0.500  0.500  0.688
Ir  0.000  0.000  0.500

Values from the calculation:
ΔE to the lowest computed polymorph: 700 meV/atom
Raw formation energy: 0.02 eV per formula unit
DOS at the Fermi energy: 0.87 states/eV per atom
E_tot: -17.044 eV per formula unit

Repeat the first record exactly.
Density functional theory data (GGA-PBE) for BaTe3Ir after structural relaxation.

a b c (Å): 5.397 5.397 5.397
angles (deg): 90.00 90.00 90.00
Fractional positions:
Ba  0.000  0.000  0.000
Te  0.000  0.500  0.500
Te  0.500  0.000  0.500
Te  0.500  0.500  0.000
Ir  0.500  0.500  0.500

Values from the calculation:
ΔE to the lowest computed polymorph: 0 meV/atom
Raw formation energy: -2.03 eV per formula unit
DOS at the Fermi energy: 1.02 states/eV per atom
E_tot: -22.240 eV per formula unit

> Which of these has the highest raw formation energy?

BaTe2Ir

> Look up the raw formation energy of the first one.

-2.03 eV per formula unit

> Which formula does entry 1 have?

BaTe3Ir